(1)
Density functional theory data (GGA-PBE) for an optimized crystal structure of AlVRu2Pb.

ΔH_f (0 K) ... 1.351 eV per atom
DOS(E_F) ... 5.65 states/eV per cell

Unit cell a=4.4665 b=4.4665 c=4.9362 alpha=90.00 beta=90.00 gamma=90.00
With the nearest neighbours (Å) after each atom.
Element x y z (fractional)
1 Al 0.0000 0.0000 0.0000  4 Ru 2.23, 2 Pb 2.47
2 V 0.5000 0.5000 0.5000  4 Pb 3.16, 8 Ru 3.33
3 Ru 0.0000 0.5000 0.0000  2 Al 2.23
4 Ru 0.5000 0.0000 0.0000  2 Al 2.23
5 Pb 0.0000 0.0000 0.5000  2 Al 2.47

=====

(2)
Density functional theory data (GGA-PBE) for an optimized crystal structure of AlVRu2Pb.

ΔH_f (0 K) ... 1.074 eV per atom
DOS(E_F) ... 8.00 states/eV per cell

Unit cell a=4.5014 b=4.5014 c=5.1069 alpha=90.00 beta=90.00 gamma=90.00
With the nearest neighbours (Å) after each atom.
Element x y z (fractional)
1 Al 0.0000 0.0000 0.0000  4 Pb 3.18, 8 Ru 3.40
2 V 0.5000 0.5000 0.5000  4 Ru 2.25
3 Ru 0.0000 0.5000 0.5000  2 V 2.25
4 Ru 0.5000 0.0000 0.5000  2 V 2.25
5 Pb 0.5000 0.5000 0.0000  2 V 2.55

=====

(3)
Density functional theory data (GGA-PBE) for an optimized crystal structure of ZrAlRuPb2.

ΔH_f (0 K) ... 1.239 eV per atom
DOS(E_F) ... 6.98 states/eV per cell

Unit cell a=5.1177 b=5.1177 c=5.1221 alpha=90.00 beta=90.00 gamma=90.00
With the nearest neighbours (Å) after each atom.
Element x y z (fractional)
1 Zr 0.0000 0.0000 0.0000  2 Al 2.56
2 Al 0.0000 0.0000 0.5000  4 Pb 2.56, 2 Zr 2.56
3 Ru 0.5000 0.5000 0.0000  4 Zr 3.62, 8 Pb 3.62
4 Pb 0.0000 0.5000 0.5000  2 Al 2.56
5 Pb 0.5000 0.0000 0.5000  2 Al 2.56

=====

(4)
Density functional theory data (GGA-PBE) for an optimized crystal structure of AlPb4S5.

Raw formation energy ... -0.542 eV/atom
DOS(E_F) ... 4.06 states/eV per cell

Unit cell a=7.1603 b=7.1603 c=7.1603 alpha=99.77 beta=99.77 gamma=131.35
With the nearest neighbours (Å) after each atom.
Element x y z (fractional)
1 Al 0.0000 0.0000 0.0000  5 S 2.34-2.43
2 Pb 0.2591 0.4674 0.5965  5 S 2.81-3.12
3 Pb 0.4674 0.8709 0.2083  5 S 2.81-3.12
4 Pb 0.6626 0.2591 0.7917  5 S 2.81-3.12
5 Pb 0.8709 0.6626 0.4035  5 S 2.81-3.12
6 S 0.1731 0.8326 0.8630  1 Al 2.43
7 S 0.3101 0.1731 0.3406  1 Al 2.43
8 S 0.6040 0.6040 0.0000  1 Al 2.34
9 S 0.8326 0.9696 0.6594  1 Al 2.43
10 S 0.9696 0.3101 0.1370  1 Al 2.43

=====

(5)
Density functional theory data (GGA-PBE) for an optimized crystal structure of Al3PbS.

Raw formation energy ... 0.298 eV/atom
DOS(E_F) ... 2.47 states/eV per cell

Unit cell a=4.8367 b=4.8367 c=4.8367 alpha=90.00 beta=90.00 gamma=90.00
With the nearest neighbours (Å) after each atom.
Element x y z (fractional)
1 Al 0.0000 0.0000 0.5000  2 S 2.42
2 Al 0.0000 0.5000 0.0000  2 S 2.42
3 Al 0.5000 0.0000 0.0000  2 S 2.42
4 Pb 0.5000 0.5000 0.5000  12 Al 3.42
5 S 0.0000 0.0000 0.0000  6 Al 2.42

=====

(6)
Density functional theory data (GGA-PBE) for an optimized crystal structure of AlPb2S3.

Raw formation energy ... -0.580 eV/atom
DOS(E_F) ... 1.84 states/eV per cell

Unit cell a=9.2918 b=9.2918 c=9.2918 alpha=156.02 beta=36.56 gamma=152.82
With the nearest neighbours (Å) after each atom.
Element x y z (fractional)
1 Al 0.0000 0.0000 0.0000  4 S 2.28-2.36
2 Pb 0.4939 0.1570 0.3369  5 S 2.88-3.03
3 Pb 0.8201 0.1570 0.6631  5 S 2.88-3.03
4 S 0.0449 0.1674 0.8775  1 Al 2.28
5 S 0.2900 0.1674 0.1225  1 Al 2.28
6 S 0.6905 0.1905 0.5000  2 Al 2.36

=====

(7)
Density functional theory data (GGA-PBE) for an optimized crystal structure of Al3PbS.

Raw formation energy ... 0.985 eV/atom
DOS(E_F) ... 3.08 states/eV per cell

Unit cell a=5.4161 b=5.4161 c=5.4161 alpha=90.00 beta=90.00 gamma=90.00
With the nearest neighbours (Å) after each atom.
Element x y z (fractional)
1 Al 0.0000 0.0000 0.5000  2 Pb 2.71
2 Al 0.0000 0.5000 0.0000  2 Pb 2.71
3 Al 0.5000 0.0000 0.0000  2 Pb 2.71
4 Pb 0.0000 0.0000 0.0000  6 Al 2.71
5 S 0.5000 0.5000 0.5000  12 Al 3.83

=====

(8)
Density functional theory data (GGA-PBE) for an optimized crystal structure of Al2PbS4.

Raw formation energy ... -0.953 eV/atom
DOS(E_F) ... 0.00 states/eV per cell

Unit cell a=6.0579 b=6.0579 c=10.5767 alpha=90.00 beta=90.00 gamma=121.04
With the nearest neighbours (Å) after each atom.
Element x y z (fractional)
1 Al 0.2377 0.7597 0.0000  4 S 2.26-2.30
2 Al 0.2403 0.7623 0.5000  4 S 2.26-2.30
3 Al 0.7597 0.2377 0.5000  4 S 2.26-2.30
4 Al 0.7623 0.2403 0.0000  4 S 2.26-2.30
5 Pb 0.5000 0.5000 0.2500  8 S 3.13-3.17
6 Pb 0.5000 0.5000 0.7500  8 S 3.13-3.17
7 S 0.0000 0.5000 0.1629  2 Al 2.28
8 S 0.0000 0.5000 0.8371  2 Al 2.28
9 S 0.1798 0.3552 0.5000  2 Al 2.26-2.30
10 S 0.3552 0.1798 0.0000  2 Al 2.26-2.30
11 S 0.5000 0.0000 0.3371  2 Al 2.28
12 S 0.5000 0.0000 0.6629  2 Al 2.28
13 S 0.6448 0.8202 0.0000  2 Al 2.26-2.30
14 S 0.8202 0.6448 0.5000  2 Al 2.26-2.30

=====

(9)
Density functional theory data (GGA-PBE) for an optimized crystal structure of Al2Pb2S.

Raw formation energy ... 0.422 eV/atom
DOS(E_F) ... 2.73 states/eV per cell

Unit cell a=7.0593 b=7.0593 c=7.0593 alpha=142.10 beta=142.10 gamma=54.67
With the nearest neighbours (Å) after each atom.
Element x y z (fractional)
1 Al 0.0973 0.0973 0.0000  1 Al 2.44
2 Al 0.9027 0.9027 0.0000  1 Al 2.44
3 Pb 0.2500 0.7500 0.5000  4 Al 2.99, 4 Pb 3.24
4 Pb 0.7500 0.2500 0.5000  4 Al 2.99, 4 Pb 3.24
5 S 0.5000 0.5000 0.0000  8 Al 3.46

=====

(10)
Density functional theory data (GGA-PBE) for an optimized crystal structure of Al6PbS8.

Raw formation energy ... -0.650 eV/atom
DOS(E_F) ... 5.69 states/eV per cell

Unit cell a=6.7138 b=6.7138 c=6.7138 alpha=91.10 beta=91.10 gamma=91.10
With the nearest neighbours (Å) after each atom.
Element x y z (fractional)
1 Al 0.2084 0.3917 0.5692  5 S 2.34-2.57
2 Al 0.3917 0.5692 0.2084  5 S 2.34-2.57
3 Al 0.4308 0.7916 0.6083  5 S 2.34-2.57
4 Al 0.5692 0.2084 0.3917  5 S 2.34-2.57
5 Al 0.6083 0.4308 0.7916  5 S 2.34-2.57
6 Al 0.7916 0.6083 0.4308  5 S 2.34-2.57
7 Pb 0.0000 0.0000 0.0000  2 S 2.87
8 S 0.1305 0.7200 0.3945  4 Al 2.40-2.57
9 S 0.2519 0.2519 0.2519  3 Al 2.34
10 S 0.2800 0.6055 0.8695  4 Al 2.40-2.57
11 S 0.3945 0.1305 0.7200  4 Al 2.40-2.57
12 S 0.6055 0.8695 0.2800  4 Al 2.40-2.57
13 S 0.7200 0.3945 0.1305  4 Al 2.40-2.57
14 S 0.7481 0.7481 0.7481  3 Al 2.34
15 S 0.8695 0.2800 0.6055  4 Al 2.40-2.57

=====

(11)
Density functional theory data (GGA-PBE) for an optimized crystal structure of Al2Pb2S5.

Raw formation energy ... -0.727 eV/atom

Unit cell a=6.8445 b=6.8445 c=6.8971 alpha=103.78 beta=103.78 gamma=43.02
With the nearest neighbours (Å) after each atom.
Element x y z (fractional)
1 Al 0.1530 0.1530 0.3838  3 S 2.25-2.29
2 Al 0.8470 0.8470 0.6162  3 S 2.25-2.29
3 Pb 0.3802 0.3802 0.1837  4 S 2.82-2.98
4 Pb 0.6198 0.6198 0.8163  4 S 2.82-2.98
5 S 0.0000 0.0000 0.5000  2 Al 2.29
6 S 0.1516 0.1516 0.0563  1 Al 2.25
7 S 0.3268 0.3268 0.5791  3 Al 2.28-2.53
8 S 0.6732 0.6732 0.4209  3 Al 2.28-2.53
9 S 0.8484 0.8484 0.9437  1 Al 2.25

=====

(12)
Density functional theory data (GGA-PBE) for an optimized crystal structure of AlPb3S4.

Raw formation energy ... -0.563 eV/atom
DOS(E_F) ... 4.40 states/eV per cell

Unit cell a=9.5290 b=7.9644 c=5.9461 alpha=90.00 beta=90.00 gamma=90.00
With the nearest neighbours (Å) after each atom.
Element x y z (fractional)
1 Al 0.0000 0.1116 0.0000  4 S 2.28-2.30
2 Al 0.5000 0.8884 0.5000  4 S 2.28-2.30
3 Pb 0.0000 0.7521 0.5530  4 S 2.80-2.95
4 Pb 0.2085 0.3367 0.5507  3 S 2.76-3.09
5 Pb 0.2915 0.6633 0.0507  3 S 2.76-3.09
6 Pb 0.5000 0.2479 0.0530  4 S 2.80-2.95
7 Pb 0.7085 0.6633 0.0507  3 S 2.76-3.09
8 Pb 0.7915 0.3367 0.5507  3 S 2.76-3.09
9 S 0.0000 0.1008 0.6128  1 Al 2.30
10 S 0.0000 0.8311 0.0813  1 Al 2.29
11 S 0.1921 0.2691 0.0849  1 Al 2.28
12 S 0.3079 0.7309 0.5849  1 Al 2.28
13 S 0.5000 0.1689 0.5813  1 Al 2.29
14 S 0.5000 0.8992 0.1128  1 Al 2.30
15 S 0.6921 0.7309 0.5849  1 Al 2.28
16 S 0.8079 0.2691 0.0849  1 Al 2.28

=====

Number 4 is which compound? AlPb4S5